Entry 1:
10
Lattice="-4.528 3.269 2.725 4.528 -3.269 2.725 4.528 3.269 -2.725" Properties=species:S:1:pos:R:3 comment="Li3CuSi (PBE, relaxed)" volume_a3_per_cell=161.3 e_above_lowest_polymorph_mev_per_atom=0 crystal_system=orthorhombic e_form_raw_ev_per_atom=-0.078 pbc="T T T"
Li 0.195 1.626 0.000
Li 4.333 1.626 0.000
Li 2.264 2.800 1.350
Li 0.195 1.643 2.725
Li 4.333 1.643 2.725
Li 2.264 0.469 4.075
Cu 6.792 1.633 -0.015
Cu -2.264 1.635 2.711
Si 6.792 -0.230 1.351
Si 2.264 0.230 1.351

=====

Entry 2:
4
Lattice="0.000 3.214 3.214 3.214 0.000 3.214 3.214 3.214 0.000" Properties=species:S:1:pos:R:3 comment="LiHfNbRu (PBE, relaxed)" volume_a3_per_cell=66.4 crystal_system=cubic ef_ev_per_atom=-0.1503 pbc="T T T"
Li 0.000 0.000 0.000
Hf 4.821 4.821 4.821
Nb 1.607 1.607 1.607
Ru 3.214 3.214 3.214

=====

Entry 3:
5
Lattice="5.626 0.000 0.000 0.000 5.626 0.000 0.000 0.000 5.626" Properties=species:S:1:pos:R:3 comment="CsTaPb3 (PBE, relaxed)" volume_a3_per_cell=178.1 e_above_lowest_polymorph_mev_per_atom=0 crystal_system=cubic ef_ev_per_atom=0.1895 pbc="T T T"
Cs 0.000 0.000 0.000
Ta 2.813 2.813 2.813
Pb 0.000 2.813 2.813
Pb 2.813 0.000 2.813
Pb 2.813 2.813 0.000

=====

Entry 4:
8
Lattice="7.746 0.000 0.000 0.000 4.471 0.000 -2.581 0.000 7.339" Properties=species:S:1:pos:R:3 comment="LiCePr2Te4 (PBE, relaxed)" volume_a3_per_cell=254.2 crystal_system=monoclinic e_form_raw_ev_per_atom=-1.364 pbc="T T T"
Li 0.000 0.000 0.000
Ce 3.873 2.236 0.000
Pr -1.291 2.236 3.670
Pr 2.582 0.000 3.670
Te 1.237 2.236 1.739
Te -0.063 0.000 5.570
Te 5.227 0.000 1.769
Te 3.928 2.236 5.600

=====

Entry 5:
4
Lattice="2.074 1.197 6.950 -2.074 1.197 6.950 0.000 -2.394 6.950" Properties=species:S:1:pos:R:3 comment="LaHoSe2 (PBE, relaxed)" volume_a3_per_cell=103.5 e_above_lowest_polymorph_mev_per_atom=0 crystal_system=trigonal e_form_raw_ev_per_atom=-1.870 pbc="T T T"
La 0.000 0.000 0.000
Ho 0.000 0.000 10.425
Se 0.000 0.000 5.065
Se 0.000 0.000 15.785

=====

Entry 6:
5
Lattice="4.387 0.000 0.000 0.000 4.387 0.000 0.000 0.000 4.505" Properties=species:S:1:pos:R:3 comment="Ta2AsIN (PBE, relaxed)" volume_a3_per_cell=86.7 crystal_system=tetragonal e_form_raw_ev_per_atom=0.600 pbc="T T T"
Ta 0.000 2.193 0.000
Ta 2.193 0.000 0.000
As 0.000 0.000 2.252
I 2.193 2.193 2.252
N 0.000 0.000 0.000

=====

Entry 7:
10
Lattice="3.078 -7.081 0.000 3.078 7.081 0.000 0.000 0.000 6.098" Properties=species:S:1:pos:R:3 comment="MnTlAgSe2 (PBE, relaxed)" volume_a3_per_cell=265.8 crystal_system=orthorhombic e_form_raw_ev_per_atom=-0.290 pbc="T T T"
Mn 1.539 0.000 0.000
Mn 4.617 0.000 0.000
Tl 3.078 3.541 4.450
Tl 3.078 -3.541 1.648
Ag 0.000 0.000 3.049
Ag 3.078 0.000 3.049
Se 3.078 5.394 1.200
Se 3.078 1.687 1.200
Se 3.078 -1.687 4.897
Se 3.078 -5.394 4.897

=====

Entry 8:
16
Lattice="6.228 0.000 0.000 0.000 6.237 0.000 -2.721 0.000 11.401" Properties=species:S:1:pos:R:3 comment="TbScPb2 (PBE, relaxed)" volume_a3_per_cell=442.9 crystal_system=monoclinic ef_ev_per_atom=-0.3862 pbc="T T T"
Tb 0.807 0.801 1.480
Tb -0.554 5.436 7.181
Tb 4.060 0.801 4.220
Tb 2.699 5.436 9.921
Sc -0.316 2.301 10.007
Sc 1.045 3.937 4.307
Sc 2.461 2.301 7.094
Sc 3.822 3.937 1.393
Pb -0.655 2.322 6.972
Pb 0.705 3.915 1.272
Pb 0.954 0.858 4.593
Pb -0.406 5.380 10.293
Pb 3.913 0.858 1.107
Pb 2.552 5.380 6.808
Pb 2.801 2.322 10.129
Pb 4.162 3.915 4.428